# KTaC2O8 PBE optimized geometry
data_KTaC2O8
_cell_length_a 4.9371
_cell_length_b 4.9371
_cell_length_c 7.7139
_cell_angle_alpha 90.00
_cell_angle_beta 90.00
_cell_angle_gamma 120.00
_symmetry_space_group_name_H-M 'P -3'
_symmetry_Int_Tables_number 147
loop_
_symmetry_equiv_pos_as_xyz
'x,y,z'
'-x,-y,-z'
'-y,x-y,z'
'y,-x+y,-z'
'-x+y,-x,z'
'x-y,x,-z'
loop_
_atom_site_label
_atom_site_fract_x
_atom_site_fract_y
_atom_site_fract_z
K1 0.0000 0.0000 0.0000
Ta1 0.0000 0.0000 0.5000
C1 0.3333 0.6667 0.7080
O1 0.1228 0.3673 0.6501
O2 0.3333 0.6667 0.8842
# formation energy (no corrections)	-1472	meV per atom
# D(E_F)	0.579	states/eV/atom

# K2TbC2O6 PBE optimized geometry
data_K2TbC2O6
_cell_length_a 5.5796
_cell_length_b 5.5796
_cell_length_c 7.1592
_cell_angle_alpha 90.00
_cell_angle_beta 90.00
_cell_angle_gamma 120.00
_symmetry_space_group_name_H-M 'P -3 m 1'
_symmetry_Int_Tables_number 164
_symmetry_space_group_name_Hall '-P 3 2"'
loop_
_atom_site_label
_atom_site_fract_x
_atom_site_fract_y
_atom_site_fract_z
K1 0.3333 0.6667 0.3077
Tb1 0.0000 0.0000 0.0000
C1 0.3333 0.6667 0.8389
O1 0.1985 0.3969 0.8299
# formation energy (no corrections)	-1878	meV per atom
# D(E_F)	0.204	states/eV/atom

# KTcCO5 PBE optimized geometry
data_KTcCO5
_cell_length_a 6.605
_cell_length_b 8.600
_cell_length_c 7.198
_cell_angle_alpha 90.00
_cell_angle_beta 117.28
_cell_angle_gamma 90.00
_symmetry_space_group_name_H-M 'C 1 2/c 1'
_symmetry_Int_Tables_number 15
loop_
_symmetry_equiv_pos_as_xyz
'x,y,z'
'-x,-y,-z'
'-x,y,-z+1/2'
'x,-y,z+1/2'
'x+1/2,y+1/2,z'
'-x+1/2,-y+1/2,-z'
'-x+1/2,y+1/2,-z+1/2'
'x+1/2,-y+1/2,z+1/2'
loop_
_atom_site_label
_atom_site_fract_x
_atom_site_fract_y
_atom_site_fract_z
K1 0.000 0.163 0.250
Tc1 0.000 0.500 0.000
C1 0.000 0.194 0.750
O1 0.000 0.446 0.250
O2 0.085 0.282 0.637
O3 0.176 0.093 0.894
# formation energy (no corrections)	-1185	meV per atom
# D(E_F)	0.308	states/eV/atom

# KTiCO5 PBE optimized geometry
data_KTiCO5
_cell_length_a 6.778
_cell_length_b 8.886
_cell_length_c 7.092
_cell_angle_alpha 90.00
_cell_angle_beta 118.23
_cell_angle_gamma 90.00
_symmetry_space_group_name_H-M 'C 1 2/c 1'
_symmetry_Int_Tables_number 15
loop_
_symmetry_equiv_pos_as_xyz
'x,y,z'
'-x,-y,-z'
'-x,y,-z+1/2'
'x,-y,z+1/2'
'x+1/2,y+1/2,z'
'-x+1/2,-y+1/2,-z'
'-x+1/2,y+1/2,-z+1/2'
'x+1/2,-y+1/2,z+1/2'
loop_
_atom_site_label
_atom_site_fract_x
_atom_site_fract_y
_atom_site_fract_z
K1 0.000 0.163 0.250
Ti1 0.000 0.500 0.000
C1 0.000 0.205 0.750
O1 0.000 0.439 0.250
O2 0.066 0.292 0.626
O3 0.168 0.102 0.882
# formation energy (no corrections)	-1700	meV per atom
# D(E_F)	0.113	states/eV/atom

Which of these has the highest D(E_F)?
KTaC2O8